1.
VASP calculation (PBE-GGA) on crystalline Nd2DyAg at its relaxed geometry.

Properties
energy relative to the lowest polymorph listed for this composition = 0.112 eV per atom
spin magnetization = 0.00 μB/cell
formation energy from the elements = -7 meV/atom
mass density = 7.57 g cm⁻³

abc: 3.637 3.637 32.117
angles: 90.00 90.00 120.00
Atoms (fractional coordinates):
Nd 0.000 0.000 0.242
Nd 0.000 0.000 0.758
Nd 0.333 0.667 0.424
Nd 0.333 0.667 0.909
Nd 0.667 0.333 0.091
Nd 0.667 0.333 0.576
Dy 0.000 0.000 0.000
Dy 0.333 0.667 0.667
Dy 0.667 0.333 0.333
Ag 0.000 0.000 0.500
Ag 0.333 0.667 0.167
Ag 0.667 0.333 0.833

2.
VASP calculation (PBE-GGA) on crystalline Nd2Dy2Ag3 at its relaxed geometry.

Properties
spin magnetization = 0.52 μB/cell
formation energy from the elements = -138 meV/atom
mass density = 8.02 g cm⁻³

abc: 5.131 5.141 8.986
angles: 73.50 73.50 60.11
Atoms (fractional coordinates):
Nd 0.126 0.127 0.120
Nd 0.874 0.873 0.880
Dy 0.375 0.376 0.373
Dy 0.625 0.624 0.627
Ag 0.000 0.000 0.500
Ag 0.254 0.254 0.738
Ag 0.746 0.746 0.262

3.
VASP calculation (PBE-GGA) on crystalline NdDy3Ag2 at its relaxed geometry.

Properties
energy relative to the lowest polymorph listed for this composition = 0.000 eV per atom
spin magnetization = 0.00 μB/cell
formation energy from the elements = -198 meV/atom
mass density = 8.60 g cm⁻³

abc: 3.637 3.637 12.364
angles: 90.00 90.00 90.00
Atoms (fractional coordinates):
Nd 0.000 0.000 0.000
Dy 0.500 0.500 0.207
Dy 0.500 0.500 0.500
Dy 0.500 0.500 0.793
Ag 0.000 0.000 0.352
Ag 0.000 0.000 0.648

4.
VASP calculation (PBE-GGA) on crystalline Nd2DyAg at its relaxed geometry.

Properties
energy relative to the lowest polymorph listed for this composition = 0.125 eV per atom
spin magnetization = 0.00 μB/cell
formation energy from the elements = 6 meV/atom
mass density = 7.53 g cm⁻³

abc: 6.333 3.662 10.837
angles: 90.00 101.17 90.00
Atoms (fractional coordinates):
Nd 0.000 0.000 0.000
Nd 0.182 0.000 0.545
Nd 0.500 0.500 0.000
Nd 0.682 0.500 0.545
Dy 0.424 0.000 0.272
Dy 0.924 0.500 0.272
Ag 0.092 0.500 0.775
Ag 0.592 0.000 0.775

5.
VASP calculation (PBE-GGA) on crystalline Nd2DyAg3 at its relaxed geometry.

Properties
spin magnetization = 0.00 μB/cell
formation energy from the elements = -281 meV/atom
mass density = 8.37 g cm⁻³

abc: 3.691 3.691 11.284
angles: 90.00 90.00 90.00
Atoms (fractional coordinates):
Nd 0.000 0.000 0.171
Nd 0.000 0.000 0.829
Dy 0.000 0.000 0.500
Ag 0.500 0.500 0.000
Ag 0.500 0.500 0.346
Ag 0.500 0.500 0.654

6.
VASP calculation (PBE-GGA) on crystalline Nd3Dy4Ag at its relaxed geometry.

Properties
spin magnetization = 0.00 μB/cell
formation energy from the elements = -59 meV/atom
mass density = 7.94 g cm⁻³

abc: 3.609 3.609 19.126
angles: 90.00 90.00 90.00
Atoms (fractional coordinates):
Nd 0.000 0.000 0.000
Nd 0.000 0.000 0.267
Nd 0.000 0.000 0.733
Dy 0.500 0.500 0.134
Dy 0.500 0.500 0.403
Dy 0.500 0.500 0.597
Dy 0.500 0.500 0.866
Ag 0.000 0.000 0.500

7.
VASP calculation (PBE-GGA) on crystalline Nd9Dy4Ag11 at its relaxed geometry.

Properties
spin magnetization = 0.90 μB/cell
formation energy from the elements = -180 meV/atom
mass density = 8.27 g cm⁻³

abc: 13.756 13.756 3.583
angles: 90.00 90.00 111.74
Atoms (fractional coordinates):
Nd 0.000 0.000 0.000
Nd 0.131 0.637 0.000
Nd 0.291 0.453 0.000
Nd 0.363 0.869 0.000
Nd 0.453 0.291 0.000
Nd 0.547 0.709 0.000
Nd 0.637 0.131 0.000
Nd 0.709 0.547 0.000
Nd 0.869 0.363 0.000
Dy 0.051 0.241 0.000
Dy 0.241 0.051 0.000
Dy 0.759 0.949 0.000
Dy 0.949 0.759 0.000
Ag 0.081 0.433 0.500
Ag 0.145 0.855 0.500
Ag 0.226 0.226 0.500
Ag 0.338 0.662 0.500
Ag 0.433 0.081 0.500
Ag 0.500 0.500 0.500
Ag 0.567 0.919 0.500
Ag 0.662 0.338 0.500
Ag 0.774 0.774 0.500
Ag 0.855 0.145 0.500
Ag 0.919 0.567 0.500

8.
VASP calculation (PBE-GGA) on crystalline Nd5DyAg6 at its relaxed geometry.

Properties
spin magnetization = 0.00 μB/cell
formation energy from the elements = -266 meV/atom
mass density = 8.11 g cm⁻³

abc: 5.311 7.401 8.386
angles: 90.00 107.96 90.00
Atoms (fractional coordinates):
Nd 0.000 0.000 0.000
Nd 0.332 0.000 0.664
Nd 0.334 0.500 0.668
Nd 0.666 0.500 0.332
Nd 0.668 0.000 0.336
Dy 0.000 0.500 0.000
Ag 0.163 0.255 0.326
Ag 0.163 0.745 0.326
Ag 0.500 0.259 0.000
Ag 0.500 0.741 0.000
Ag 0.837 0.255 0.674
Ag 0.837 0.745 0.674

9.
VASP calculation (PBE-GGA) on crystalline NdDyAg4 at its relaxed geometry.

Properties
energy relative to the lowest polymorph listed for this composition = 0.280 eV per atom
spin magnetization = 0.00 μB/cell
formation energy from the elements = 6 meV/atom
mass density = 8.29 g cm⁻³

abc: 3.427 4.457 9.681
angles: 90.00 90.00 90.00
Atoms (fractional coordinates):
Nd 0.000 0.000 0.000
Dy 0.500 0.500 0.500
Ag 0.000 0.500 0.235
Ag 0.000 0.500 0.765
Ag 0.500 0.000 0.282
Ag 0.500 0.000 0.718

10.
VASP calculation (PBE-GGA) on crystalline NdDy2Ag3 at its relaxed geometry.

Properties
spin magnetization = 0.06 μB/cell
formation energy from the elements = -303 meV/atom
mass density = 8.85 g cm⁻³

abc: 3.650 3.650 11.161
angles: 90.00 90.00 90.00
Atoms (fractional coordinates):
Nd 0.000 0.000 0.000
Dy 0.000 0.000 0.338
Dy 0.000 0.000 0.662
Ag 0.500 0.500 0.180
Ag 0.500 0.500 0.500
Ag 0.500 0.500 0.820

11.
VASP calculation (PBE-GGA) on crystalline NdDyAg3 at its relaxed geometry.

Properties
energy relative to the lowest polymorph listed for this composition = 0.000 eV per atom
spin magnetization = 0.00 μB/cell
formation energy from the elements = -260 meV/atom
mass density = 8.63 g cm⁻³

abc: 14.182 14.182 4.813
angles: 90.00 90.00 165.49
Atoms (fractional coordinates):
Nd 0.075 0.925 0.750
Nd 0.925 0.075 0.250
Dy 0.210 0.790 0.250
Dy 0.790 0.210 0.750
Ag 0.321 0.679 0.250
Ag 0.378 0.622 0.750
Ag 0.476 0.524 0.750
Ag 0.524 0.476 0.250
Ag 0.622 0.378 0.250
Ag 0.679 0.321 0.750

12.
VASP calculation (PBE-GGA) on crystalline NdDy4Ag5 at its relaxed geometry.

Properties
spin magnetization = 0.00 μB/cell
formation energy from the elements = -312 meV/atom
mass density = 9.05 g cm⁻³

abc: 3.625 3.625 18.624
angles: 90.00 90.00 90.00
Atoms (fractional coordinates):
Nd 0.000 0.000 0.000
Dy 0.000 0.000 0.204
Dy 0.000 0.000 0.401
Dy 0.000 0.000 0.599
Dy 0.000 0.000 0.796
Ag 0.500 0.500 0.109
Ag 0.500 0.500 0.303
Ag 0.500 0.500 0.500
Ag 0.500 0.500 0.697
Ag 0.500 0.500 0.891